Si2Mo2F: optimized geometry, GGA+U.

abc: 3.579 3.579 13.934
angles: 90.00 90.00 90.00
Space group I4/mmm (No. 139)
Unique sites:
Si1 0.000 0.500 0.250 (multiplicity 4)
Mo1 0.000 0.000 0.113 (multiplicity 4)
F1 0.000 0.000 0.500 (multiplicity 2)

Values from the calculation:
Calculated total energy   -5.09 eV/atom
Mass density   4968 kg/m3